Record 1
This record from Alexandria describes a PBEsol-optimized structure of YPb3. The functional is meta-GGA SCAN.

Unit cell a=3.499 b=3.499 c=9.296 alpha=90.00 beta=90.00 gamma=90.24
Atoms (fractional coordinates):
Y 0.000 0.000 0.000
Pb 0.000 0.000 0.500
Pb 0.500 0.500 0.240
Pb 0.500 0.500 0.760

Calculated values
ΔE_f   -0.26 eV/atom
VASP energy   -64.054 eV/atom
SG   Cmmm


Record 2
This record from Alexandria describes a PBEsol-optimized structure of YPb3. The functional is meta-GGA SCAN.

Unit cell a=6.482 b=17.078 c=5.987 alpha=90.00 beta=90.00 gamma=90.00
Atoms (fractional coordinates):
Y 0.250 0.078 0.136
Y 0.250 0.422 0.136
Y 0.250 0.750 0.593
Y 0.750 0.250 0.407
Y 0.750 0.578 0.864
Y 0.750 0.922 0.864
Pb 0.000 0.250 0.913
Pb 0.000 0.750 0.087
Pb 0.002 0.083 0.635
Pb 0.002 0.417 0.635
Pb 0.250 0.250 0.385
Pb 0.250 0.585 0.863
Pb 0.250 0.915 0.863
Pb 0.498 0.083 0.635
Pb 0.498 0.417 0.635
Pb 0.500 0.250 0.913
Pb 0.500 0.750 0.087
Pb 0.502 0.583 0.365
Pb 0.502 0.917 0.365
Pb 0.750 0.085 0.137
Pb 0.750 0.415 0.137
Pb 0.750 0.750 0.615
Pb 0.998 0.583 0.365
Pb 0.998 0.917 0.365

Calculated values
ΔE_f   -0.40 eV/atom
VASP energy   -64.200 eV/atom
SG   Pmmn


Record 3
This record from Alexandria describes a PBEsol-optimized structure of Y5Pb4. The functional is meta-GGA SCAN.

Unit cell a=8.076 b=15.414 c=8.153 alpha=90.00 beta=90.00 gamma=90.00
Atoms (fractional coordinates):
Y 0.032 0.099 0.177
Y 0.032 0.401 0.177
Y 0.126 0.621 0.343
Y 0.126 0.879 0.343
Y 0.206 0.250 0.504
Y 0.294 0.750 0.004
Y 0.374 0.121 0.843
Y 0.374 0.379 0.843
Y 0.468 0.599 0.677
Y 0.468 0.901 0.677
Y 0.532 0.099 0.323
Y 0.532 0.401 0.323
Y 0.626 0.621 0.157
Y 0.626 0.879 0.157
Y 0.706 0.250 0.996
Y 0.794 0.750 0.496
Y 0.874 0.121 0.657
Y 0.874 0.379 0.657
Y 0.968 0.599 0.823
Y 0.968 0.901 0.823
Pb 0.069 0.250 0.877
Pb 0.156 0.750 0.652
Pb 0.216 0.043 0.535
Pb 0.216 0.457 0.535
Pb 0.284 0.543 0.035
Pb 0.284 0.957 0.035
Pb 0.344 0.250 0.152
Pb 0.431 0.750 0.377
Pb 0.569 0.250 0.623
Pb 0.656 0.750 0.848
Pb 0.716 0.043 0.965
Pb 0.716 0.457 0.965
Pb 0.784 0.543 0.465
Pb 0.784 0.957 0.465
Pb 0.844 0.250 0.348
Pb 0.931 0.750 0.123

Calculated values
ΔE_f   -0.88 eV/atom
VASP energy   -50.031 eV/atom
SG   Pnma


Record 4
This record from Alexandria describes a PBEsol-optimized structure of YPb3. The functional is meta-GGA SCAN.

Unit cell a=5.573 b=5.573 c=3.614 alpha=90.00 beta=90.00 gamma=90.00
Atoms (fractional coordinates):
Y 0.000 0.000 0.000
Pb 0.000 0.500 0.500
Pb 0.500 0.000 0.500
Pb 0.500 0.500 0.000

Calculated values
ΔE_f   -0.35 eV/atom
VASP energy   -64.144 eV/atom
SG   P4/mmm


Record 5
This record from Alexandria describes a PBEsol-optimized structure of YPb3. The functional is meta-GGA SCAN.

Unit cell a=6.465 b=6.465 c=6.465 alpha=147.71 beta=61.77 gamma=128.88
Atoms (fractional coordinates):
Y 0.000 0.000 0.000
Pb 0.392 0.644 0.748
Pb 0.512 0.012 0.500
Pb 0.896 0.644 0.252

Calculated values
ΔE_f   -0.36 eV/atom
VASP energy   -64.159 eV/atom
SG   Imm2


Record 6
This record from Alexandria describes a PBEsol-optimized structure of YPb3. The functional is meta-GGA SCAN.

Unit cell a=3.540 b=3.540 c=10.666 alpha=90.00 beta=90.00 gamma=120.00
Atoms (fractional coordinates):
Y 0.000 0.000 0.000
Pb 0.000 0.000 0.500
Pb 0.667 0.333 0.242
Pb 0.667 0.333 0.758

Calculated values
ΔE_f   -0.18 eV/atom
VASP energy   -63.979 eV/atom
SG   P-6m2


Number 1: total magnetic moment 0.0 μB per formula unit. Number 2: total magnetic moment 0.0 μB per formula unit. Number 3: total magnetic moment 0.0 μB per formula unit. Number 4: total magnetic moment 0.0 μB per formula unit. Number 5: total magnetic moment 0.0 μB per formula unit. Number 6: total magnetic moment 0.0 μB per formula unit.